(1)
# BaHo2CoO5

A geometry-optimized BaHo2CoO5 structure (PBE+U, Alexandria).

Computed properties:
Offset from the most stable computed form: 1.7 kJ per mole of atoms
Crystal system: orthorhombic

a = 3.7740 Å, b = 5.8088 Å, c = 11.5111 Å
α = 90.00°, β = 90.00°, γ = 90.00°
Last column: nearest neighbours and their distance in Å.
Space group Immm (No. 71)
Symmetry-distinct sites (fractional):
1 Ba 0.0000 0.0000 0.0000  10 O 2.90-2.98
2 Ho 0.0000 0.5000 0.2037  7 O 2.24-2.42
3 Co 0.0000 0.0000 0.5000  2 O 1.89
4 O 0.0000 0.2410 0.3482  1 Co 2.24, 3 Ho 2.24-2.42
5 O 0.0000 0.5000 0.0000  2 Co 1.89

(2)
# Ba2Ho2Co4O11

A geometry-optimized Ba2Ho2Co4O11 structure (PBE+U, Alexandria).

Computed properties:
Crystal system: orthorhombic

a = 3.9176 Å, b = 7.6974 Å, c = 7.7936 Å
α = 90.00°, β = 90.00°, γ = 90.00°
Last column: nearest neighbours and their distance in Å.
Space group Pmm2 (No. 25)
Symmetry-distinct sites (fractional):
1 Ba 0.0000 0.0000 0.0000  6 O 2.75-2.90
2 Ba 0.0000 0.0000 0.4980  10 O 2.76-3.03
3 Ho 0.0000 0.5000 0.0203  8 O 2.43-2.53
4 Ho 0.0000 0.5000 0.4757  10 O 2.45-2.57
5 Co 0.5000 0.2558 0.2504  4 O 1.88-1.97
6 Co 0.5000 0.2601 0.7513  5 O 1.83-2.01
7 O 0.0000 0.2821 0.2467  2 Co 1.97
8 O 0.0000 0.3165 0.7507  2 Co 2.01
9 O 0.5000 0.0000 0.2476  2 Co 1.97
10 O 0.5000 0.0000 0.7521  2 Co 2.00
11 O 0.5000 0.3001 0.5197  1 Co 1.83
12 O 0.5000 0.3085 0.9828  1 Co 1.84
13 O 0.5000 0.5000 0.2639  2 Co 1.88

Number 1: E -7.35 eV/atom. Number 2: E -6.59 eV/atom.